1.
This record from Alexandria via LeMat-Bulk describes a geometry-optimized InCo2Cu structure. The functional is GGA-PBE.

V   14.102 Å³ per atom
Electronic total energy   -4.802 eV per atom
Space group   No. 166
Formation energy   0.460 eV per atom

abc: 8.384 8.384 8.384
angles: 19.32 19.32 19.32
Positions (direct):
In (0.000, 0.000, 0.000)
Co (0.245, 0.245, 0.245)
Co (0.755, 0.755, 0.755)
Cu (0.500, 0.500, 0.500)

***

2.
This record from Alexandria via LeMat-Bulk describes a geometry-optimized Ac12HgGe6 structure. The functional is GGA-PBE.

V   35.681 Å³ per atom
Electronic total energy   -4.556 eV per atom
Space group   No. 204
Formation energy   -0.487 eV per atom

abc: 9.585 9.585 9.585
angles: 109.47 109.47 109.47
Positions (direct):
Ac (0.111, 0.298, 0.813)
Ac (0.187, 0.485, 0.298)
Ac (0.187, 0.889, 0.702)
Ac (0.298, 0.187, 0.485)
Ac (0.298, 0.813, 0.111)
Ac (0.485, 0.298, 0.187)
Ac (0.515, 0.702, 0.813)
Ac (0.702, 0.187, 0.889)
Ac (0.702, 0.813, 0.515)
Ac (0.813, 0.111, 0.298)
Ac (0.813, 0.515, 0.702)
Ac (0.889, 0.702, 0.187)
Hg (0.000, 0.000, 0.000)
Ge (0.115, 0.500, 0.615)
Ge (0.385, 0.885, 0.500)
Ge (0.500, 0.385, 0.885)
Ge (0.500, 0.615, 0.115)
Ge (0.615, 0.115, 0.500)
Ge (0.885, 0.500, 0.385)

***

3.
This record from Alexandria via LeMat-Bulk describes a geometry-optimized LaAuS2 structure. The functional is GGA-PBE.

Offset from the most stable computed form   0.317 eV per atom
V   27.699 Å³ per atom
Formation energy without anion corrections   -4.32 eV per formula unit
Electronic total energy   -5.196 eV per atom
Space group   No. 122

abc: 8.179 8.179 8.179
angles: 140.27 140.27 57.44
Positions (direct):
La (0.000, 0.000, 0.000)
La (0.750, 0.250, 0.500)
Au (0.250, 0.750, 0.500)
Au (0.500, 0.500, 0.000)
S (0.159, 0.625, 0.034)
S (0.375, 0.409, 0.534)
S (0.591, 0.125, 0.966)
S (0.875, 0.841, 0.466)

***

4.
This record from Alexandria via LeMat-Bulk describes a geometry-optimized BaZrRu2 structure. The functional is GGA-PBE.

Offset from the most stable computed form   0.165 eV per atom
V   23.734 Å³ per atom
Electronic total energy   -6.962 eV per atom
Space group   No. 12
Formation energy   0.294 eV per atom

abc: 4.480 4.480 7.015
angles: 98.32 98.32 43.05
Positions (direct):
Ba (0.000, 0.000, 0.000)
Zr (0.500, 0.500, 0.500)
Ru (0.234, 0.234, 0.663)
Ru (0.766, 0.766, 0.337)

***

5.
This record from Alexandria via LeMat-Bulk describes a geometry-optimized YBeMo2 structure. The functional is GGA-PBE.

V   16.998 Å³ per atom
Electronic total energy   -7.275 eV per atom
Space group   No. 166
Formation energy   0.689 eV per atom

abc: 9.249 9.249 9.249
angles: 18.28 18.28 18.28
Positions (direct):
Y (0.000, 0.000, 0.000)
Be (0.500, 0.500, 0.500)
Mo (0.236, 0.236, 0.236)
Mo (0.764, 0.764, 0.764)

***

6.
This record from Alexandria via LeMat-Bulk describes a geometry-optimized RbSb2IrI structure. The functional is GGA-PBE.

Offset from the most stable computed form   0.000 eV per atom
V   34.150 Å³ per atom
Formation energy without anion corrections   -0.09 eV per formula unit
Electronic total energy   -3.942 eV per atom
Space group   No. 123

abc: 5.169 5.169 6.392
angles: 90.00 90.00 90.00
Positions (direct):
Rb (0.000, 0.000, 0.000)
Sb (0.000, 0.500, 0.500)
Sb (0.500, 0.000, 0.500)
Ir (0.500, 0.500, 0.500)
I (0.500, 0.500, 0.000)

***

7.
This record from Alexandria via LeMat-Bulk describes a geometry-optimized Np4P3Se structure. The functional is GGA-PBE.

V   22.687 Å³ per atom
Formation energy without anion corrections   -7.47 eV per formula unit
Electronic total energy   -9.868 eV per atom
Space group   No. 65

abc: 6.934 6.934 4.004
angles: 90.00 90.00 109.47
Positions (direct):
Np (0.241, 0.241, 0.500)
Np (0.246, 0.754, 0.000)
Np (0.754, 0.246, 0.000)
Np (0.759, 0.759, 0.500)
P (0.000, 0.000, 0.000)
P (0.000, 0.500, 0.500)
P (0.500, 0.000, 0.500)
Se (0.500, 0.500, 0.000)

***

8.
This record from Alexandria via LeMat-Bulk describes a geometry-optimized LiY2ScTe structure. The functional is GGA-PBE.

V   34.141 Å³ per atom
Formation energy without anion corrections   1.63 eV per formula unit
Electronic total energy   -4.536 eV per atom
Space group   No. 123

abc: 5.607 5.607 5.429
angles: 90.00 90.00 90.00
Positions (direct):
Li (0.000, 0.000, 0.000)
Y (0.000, 0.500, 0.500)
Y (0.500, 0.000, 0.500)
Sc (0.500, 0.500, 0.500)
Te (0.500, 0.500, 0.000)